*P*
Here is a relaxed structure of Pm4CdNi from Alexandria via LeMat-Bulk. Energies are from GGA-PBE.

The structure in POSCAR format:
```
Pm4CdNi
1.0
-3.004 -5.644 -7.422
6.280 -6.142 -4.336
-0.940 -9.668 1.268
Pm Cd Ni
16 4 4
Direct
0.402 0.402 0.402 Pm
0.794 0.402 0.402 Pm
0.402 0.794 0.402 Pm
0.402 0.402 0.794 Pm
0.559 0.559 0.941 Pm
0.941 0.941 0.559 Pm
0.559 0.941 0.559 Pm
0.941 0.559 0.941 Pm
0.941 0.559 0.559 Pm
0.559 0.941 0.941 Pm
0.187 0.187 0.813 Pm
0.813 0.813 0.187 Pm
0.187 0.813 0.187 Pm
0.813 0.187 0.813 Pm
0.813 0.187 0.187 Pm
0.187 0.813 0.813 Pm
0.170 0.170 0.170 Cd
0.491 0.170 0.170 Cd
0.170 0.491 0.170 Cd
0.170 0.170 0.491 Cd
0.607 0.607 0.607 Ni
0.178 0.607 0.607 Ni
0.607 0.178 0.607 Ni
0.607 0.607 0.178 Ni
```

Values from the calculation:
Spin magnetization, μB per atom: 0.000
Calculated volume, Å³/atom: 27.7
Theoretical density, Mg/m³: 7.50

*Q*
Here is a relaxed structure of Pm4CdNi from Alexandria via LeMat-Bulk. Energies are from GGA-PBE.

The structure in POSCAR format:
```
Pm4CdNi
1.0
6.063 -0.376 0.000
-2.004 8.293 0.000
-2.030 -3.959 6.930
Pm Cd Ni
8 2 2
Direct
0.045 0.194 0.855 Pm
0.775 0.700 0.630 Pm
0.310 0.661 0.855 Pm
0.355 0.930 0.630 Pm
0.645 0.070 0.370 Pm
0.690 0.339 0.145 Pm
0.225 0.300 0.370 Pm
0.955 0.806 0.145 Pm
0.368 0.618 0.235 Cd
0.632 0.382 0.765 Cd
0.248 0.998 0.997 Ni
0.752 0.002 0.003 Ni
```

Values from the calculation:
Spin magnetization, μB per atom: 0.000
Calculated volume, Å³/atom: 28.6
Theoretical density, Mg/m³: 7.27

What should be chosen as the most stable of them? Choose *P*.

*P*
Here is a relaxed structure of Pr3CdNi from Alexandria via LeMat-Bulk. Energies are from GGA-PBE.

The structure in POSCAR format:
```
Pr3CdNi
1.0
-3.524 0.469 -1.256
4.253 -0.366 -6.408
-1.308 -10.535 -0.266
Pr Cd Ni
6 2 2
Direct
0.862 0.725 0.550 Pr
0.138 0.275 0.450 Pr
0.138 0.275 0.050 Pr
0.862 0.725 0.950 Pr
0.450 0.898 0.250 Pr
0.550 0.102 0.750 Pr
0.762 0.525 0.250 Cd
0.238 0.475 0.750 Cd
0.500 0.000 0.000 Ni
0.500 0.000 0.500 Ni
```

Values from the calculation:
Spin magnetization, μB per atom: 0.000
Calculated volume, Å³/atom: 29.9
Theoretical density, Mg/m³: 6.60

*Q*
Here is a relaxed structure of Pr3CdNi from Alexandria via LeMat-Bulk. Energies are from GGA-PBE.

The structure in POSCAR format:
```
Pr3CdNi
1.0
-3.768 -1.384 -3.650
-1.102 -4.490 2.840
-3.745 2.713 2.837
Pr Ni Cd
3 1 1
Direct
0.000 0.500 0.000 Pr
0.000 0.000 0.500 Pr
0.500 0.000 0.000 Pr
0.000 0.000 0.000 Ni
0.500 0.500 0.500 Cd
```

Values from the calculation:
Spin magnetization, μB per atom: 0.001
Calculated volume, Å³/atom: 31.9
Theoretical density, Mg/m³: 6.17

What should be chosen as the most stable of them? Choose *P*.